# Ac4O (PBE, optimized geometry)
data_Ac4O
_chemical_formula_sum 'Ac4 O1'
_space_group_name_H-M_alt 'P 1'
_space_group_IT_number 1
_cell_length_a 5.515
_cell_length_b 5.515
_cell_length_c 5.515
_cell_angle_alpha 90.00
_cell_angle_beta 90.00
_cell_angle_gamma 90.00
loop_
_space_group_symop_operation_xyz
'x,y,z'
loop_
_atom_site_label
_atom_site_type_symbol
_atom_site_fract_x
_atom_site_fract_y
_atom_site_fract_z
_atom_site_occupancy
Ac1 Ac 0.000 0.000 0.000 1
Ac2 Ac 0.500 0.000 0.500 1
Ac3 Ac 0.000 0.500 0.500 1
Ac4 Ac 0.500 0.500 0.000 1
O1 O 0.500 0.500 0.500 1
# - E_form (uncorrected): -1.0215 eV per atom
# - Size of the total moment: 0.00 μB/cell
# - Crystal system: cubic

# Ca3Np3ScS8 (PBE, optimized geometry)
data_Ca3Np3ScS8
_chemical_formula_sum 'Ca3 Np3 Sc1 S8'
_space_group_name_H-M_alt 'P 1'
_space_group_IT_number 1
_cell_length_a 7.862
_cell_length_b 7.862
_cell_length_c 7.990
_cell_angle_alpha 119.47
_cell_angle_beta 90.00
_cell_angle_gamma 120.00
loop_
_space_group_symop_operation_xyz
'x,y,z'
loop_
_atom_site_label
_atom_site_type_symbol
_atom_site_fract_x
_atom_site_fract_y
_atom_site_fract_z
_atom_site_occupancy
Ca1 Ca 0.000 0.000 0.000 1
Ca2 Ca 0.000 0.500 0.000 1
Ca3 Ca 0.500 0.500 0.000 1
Np1 Np 0.500 0.000 0.500 1
Np2 Np 0.500 0.500 0.500 1
Np3 Np 0.000 0.500 0.500 1
Sc1 Sc 0.000 0.000 0.500 1
S1 S 0.251 0.502 0.253 1
S2 S 0.749 0.498 0.747 1
S3 S 0.763 0.527 0.268 1
S4 S 0.237 0.473 0.732 1
S5 S 0.763 0.005 0.268 1
S6 S 0.237 0.995 0.732 1
S7 S 0.241 0.005 0.268 1
S8 S 0.759 0.995 0.732 1
# - E_form (uncorrected): -1.7150 eV per atom
# - Size of the total moment: 13.71 μB/cell
# - Crystal system: trigonal

# PmDyHoSc (PBE, optimized geometry)
data_PmDyHoSc
_chemical_formula_sum 'Pm1 Dy1 Ho1 Sc1'
_space_group_name_H-M_alt 'P 1'
_space_group_IT_number 1
_cell_length_a 5.561
_cell_length_b 5.561
_cell_length_c 5.561
_cell_angle_alpha 60.00
_cell_angle_beta 60.00
_cell_angle_gamma 60.00
loop_
_space_group_symop_operation_xyz
'x,y,z'
loop_
_atom_site_label
_atom_site_type_symbol
_atom_site_fract_x
_atom_site_fract_y
_atom_site_fract_z
_atom_site_occupancy
Sc1 Sc 0.250 0.250 0.250 1
Pm1 Pm 0.500 0.500 0.500 1
Ho1 Ho 0.750 0.750 0.750 1
Dy1 Dy 0.000 0.000 0.000 1
# - Energy above the most stable polymorph in this dataset: 20 meV per atom
# - Energy of formation: 116 meV per atom
# - Size of the total moment: 0.00 μB/cell
# - Crystal system: cubic

# BeIn2O (PBE, optimized geometry)
data_BeIn2O
_chemical_formula_sum 'Be1 In2 O1'
_space_group_name_H-M_alt 'P 1'
_space_group_IT_number 1
_cell_length_a 4.564
_cell_length_b 4.564
_cell_length_c 4.564
_cell_angle_alpha 60.00
_cell_angle_beta 60.00
_cell_angle_gamma 60.00
loop_
_space_group_symop_operation_xyz
'x,y,z'
loop_
_atom_site_label
_atom_site_type_symbol
_atom_site_fract_x
_atom_site_fract_y
_atom_site_fract_z
_atom_site_occupancy
Be1 Be 0.000 0.000 0.000 1
O1 O 0.500 0.500 0.500 1
In1 In 0.250 0.250 0.250 1
In2 In 0.750 0.750 0.750 1
# - E_form (uncorrected): 0.3067 eV per atom
# - Energy above the most stable polymorph in this dataset: 464 meV per atom
# - Size of the total moment: 0.00 μB/cell
# - Crystal system: cubic

# AgTeAu (PBE, optimized geometry)
data_AgTeAu
_chemical_formula_sum 'Ag2 Te2 Au2'
_space_group_name_H-M_alt 'P 1'
_space_group_IT_number 1
_cell_length_a 4.309
_cell_length_b 6.654
_cell_length_c 5.416
_cell_angle_alpha 78.06
_cell_angle_beta 112.95
_cell_angle_gamma 90.28
loop_
_space_group_symop_operation_xyz
'x,y,z'
loop_
_atom_site_label
_atom_site_type_symbol
_atom_site_fract_x
_atom_site_fract_y
_atom_site_fract_z
_atom_site_occupancy
Te1 Te 0.680 0.331 0.357 1
Te2 Te 0.320 0.669 0.643 1
Au1 Au 0.104 0.115 0.206 1
Au2 Au 0.896 0.885 0.794 1
Ag1 Ag 0.603 0.800 0.212 1
Ag2 Ag 0.397 0.200 0.788 1
# - E_form (uncorrected): 0.0127 eV per atom
# - Size of the total moment: 0.00 μB/cell
# - Crystal system: triclinic

# La2BPtC (PBE, optimized geometry)
data_La2BPtC
_chemical_formula_sum 'La2 B1 Pt1 C1'
_space_group_name_H-M_alt 'P 1'
_space_group_IT_number 1
_cell_length_a 5.550
_cell_length_b 5.550
_cell_length_c 3.990
_cell_angle_alpha 90.00
_cell_angle_beta 90.00
_cell_angle_gamma 90.00
loop_
_space_group_symop_operation_xyz
'x,y,z'
loop_
_atom_site_label
_atom_site_type_symbol
_atom_site_fract_x
_atom_site_fract_y
_atom_site_fract_z
_atom_site_occupancy
C1 C 0.500 0.500 0.500 1
B1 B 0.000 0.000 0.500 1
Pt1 Pt 0.000 0.000 0.000 1
La1 La 0.000 0.500 0.000 1
La2 La 0.500 0.000 0.000 1
# - Energy of formation: 581 meV per atom
# - Size of the total moment: 0.56 μB/cell
# - Crystal system: tetragonal

# YTl2Te3O12 (PBE, optimized geometry)
data_YTl2Te3O12
_chemical_formula_sum 'Y1 Tl2 Te3 O12'
_space_group_name_H-M_alt 'P 1'
_space_group_IT_number 1
_cell_length_a 7.595
_cell_length_b 7.595
_cell_length_c 7.595
_cell_angle_alpha 58.40
_cell_angle_beta 58.40
_cell_angle_gamma 58.40
loop_
_space_group_symop_operation_xyz
'x,y,z'
loop_
_atom_site_label
_atom_site_type_symbol
_atom_site_fract_x
_atom_site_fract_y
_atom_site_fract_z
_atom_site_occupancy
Y1 Y 0.000 0.000 0.000 1
Tl1 Tl 0.647 0.647 0.647 1
Tl2 Tl 0.353 0.353 0.353 1
Te1 Te 0.500 0.000 0.000 1
Te2 Te 0.000 0.500 0.000 1
Te3 Te 0.000 0.000 0.500 1
O1 O 0.314 0.314 0.920 1
O2 O 0.922 0.922 0.358 1
O3 O 0.358 0.922 0.922 1
O4 O 0.920 0.314 0.314 1
O5 O 0.922 0.358 0.922 1
O6 O 0.314 0.920 0.314 1
O7 O 0.686 0.686 0.080 1
O8 O 0.078 0.078 0.642 1
O9 O 0.642 0.078 0.078 1
O10 O 0.080 0.686 0.686 1
O11 O 0.078 0.642 0.078 1
O12 O 0.686 0.080 0.686 1
# - E_form (uncorrected): -1.2249 eV per atom
# - Size of the total moment: 0.93 μB/cell
# - Crystal system: trigonal

# RbNa3Rh (PBE, optimized geometry)
data_RbNa3Rh
_chemical_formula_sum 'Rb1 Na3 Rh1'
_space_group_name_H-M_alt 'P 1'
_space_group_IT_number 1
_cell_length_a 5.625
_cell_length_b 5.625
_cell_length_c 5.625
_cell_angle_alpha 90.00
_cell_angle_beta 90.00
_cell_angle_gamma 90.00
loop_
_space_group_symop_operation_xyz
'x,y,z'
loop_
_atom_site_label
_atom_site_type_symbol
_atom_site_fract_x
_atom_site_fract_y
_atom_site_fract_z
_atom_site_occupancy
Na1 Na 0.000 0.500 0.000 1
Na2 Na 0.000 0.000 0.500 1
Na3 Na 0.500 0.000 0.000 1
Rh1 Rh 0.000 0.000 0.000 1
Rb1 Rb 0.500 0.500 0.500 1
# - Energy above the most stable polymorph in this dataset: 0 meV per atom
# - Energy of formation: 342 meV per atom
# - Size of the total moment: 0.00 μB/cell
# - Crystal system: cubic

# Ac14LaCe (PBE, optimized geometry)
data_Ac14LaCe
_chemical_formula_sum 'Ac14 La1 Ce1'
_space_group_name_H-M_alt 'P 1'
_space_group_IT_number 1
_cell_length_a 7.906
_cell_length_b 7.906
_cell_length_c 11.227
_cell_angle_alpha 90.00
_cell_angle_beta 90.00
_cell_angle_gamma 90.00
loop_
_space_group_symop_operation_xyz
'x,y,z'
loop_
_atom_site_label
_atom_site_type_symbol
_atom_site_fract_x
_atom_site_fract_y
_atom_site_fract_z
_atom_site_occupancy
Ac1 Ac 0.375 0.625 0.500 1
Ac2 Ac 0.876 0.124 0.500 1
Ac3 Ac 0.872 0.622 0.000 1
Ac4 Ac 0.877 0.627 0.500 1
Ac5 Ac 0.378 0.128 0.000 1
Ac6 Ac 0.373 0.123 0.500 1
Ac7 Ac 0.627 0.877 0.756 1
Ac8 Ac 0.627 0.877 0.244 1
Ac9 Ac 0.123 0.373 0.756 1
Ac10 Ac 0.123 0.373 0.244 1
Ac11 Ac 0.123 0.877 0.759 1
Ac12 Ac 0.123 0.877 0.241 1
Ac13 Ac 0.627 0.373 0.753 1
Ac14 Ac 0.627 0.373 0.247 1
La1 La 0.375 0.625 0.000 1
Ce1 Ce 0.874 0.126 0.000 1
# - Energy of formation: 43 meV per atom
# - Size of the total moment: 2.26 μB/cell
# - Crystal system: orthorhombic

# HoHfCu2 (PBE, optimized geometry)
data_HoHfCu2
_chemical_formula_sum 'Ho1 Hf1 Cu2'
_space_group_name_H-M_alt 'P 1'
_space_group_IT_number 1
_cell_length_a 3.299
_cell_length_b 4.744
_cell_length_c 4.744
_cell_angle_alpha 90.00
_cell_angle_beta 90.00
_cell_angle_gamma 90.00
loop_
_space_group_symop_operation_xyz
'x,y,z'
loop_
_atom_site_label
_atom_site_type_symbol
_atom_site_fract_x
_atom_site_fract_y
_atom_site_fract_z
_atom_site_occupancy
Hf1 Hf 0.500 0.000 0.000 1
Ho1 Ho 0.500 0.500 0.500 1
Cu1 Cu 0.000 0.000 0.500 1
Cu2 Cu 0.000 0.500 0.000 1
# - Energy above the most stable polymorph in this dataset: 36 meV per atom
# - Energy of formation: -121 meV per atom
# - Size of the total moment: 0.35 μB/cell
# - Crystal system: tetragonal

# CoAg4 (PBE, optimized geometry)
data_CoAg4
_chemical_formula_sum 'Co1 Ag4'
_space_group_name_H-M_alt 'P 1'
_space_group_IT_number 1
_cell_length_a 4.968
_cell_length_b 4.968
_cell_length_c 4.968
_cell_angle_alpha 99.46
_cell_angle_beta 99.46
_cell_angle_gamma 132.17
loop_
_space_group_symop_operation_xyz
'x,y,z'
loop_
_atom_site_label
_atom_site_type_symbol
_atom_site_fract_x
_atom_site_fract_y
_atom_site_fract_z
_atom_site_occupancy
Co1 Co 0.000 0.000 0.000 1
Ag1 Ag 0.795 0.602 0.397 1
Ag2 Ag 0.205 0.398 0.603 1
Ag3 Ag 0.602 0.205 0.807 1
Ag4 Ag 0.398 0.795 0.193 1
# - Energy above the most stable polymorph in this dataset: 0 meV per atom
# - Energy of formation: 299 meV per atom
# - Size of the total moment: 1.75 μB/cell
# - Crystal system: tetragonal

# KThSeO5 (PBE, optimized geometry)
data_KThSeO5
_chemical_formula_sum 'K2 Th2 Se2 O10'
_space_group_name_H-M_alt 'P 1'
_space_group_IT_number 1
_cell_length_a 6.341
_cell_length_b 6.341
_cell_length_c 8.518
_cell_angle_alpha 106.46
_cell_angle_beta 106.46
_cell_angle_gamma 102.86
loop_
_space_group_symop_operation_xyz
'x,y,z'
loop_
_atom_site_label
_atom_site_type_symbol
_atom_site_fract_x
_atom_site_fract_y
_atom_site_fract_z
_atom_site_occupancy
K1 K 0.326 0.674 0.250 1
K2 K 0.674 0.326 0.750 1
Th1 Th 0.000 0.000 0.500 1
Th2 Th 0.000 0.000 0.000 1
Se1 Se 0.691 0.309 0.250 1
Se2 Se 0.309 0.691 0.750 1
O1 O 0.052 0.948 0.250 1
O2 O 0.948 0.052 0.750 1
O3 O 0.859 0.316 0.099 1
O4 O 0.141 0.684 0.901 1
O5 O 0.684 0.141 0.401 1
O6 O 0.316 0.859 0.599 1
O7 O 0.754 0.596 0.382 1
O8 O 0.246 0.404 0.618 1
O9 O 0.404 0.246 0.118 1
O10 O 0.596 0.754 0.882 1
# - E_form (uncorrected): -1.9637 eV per atom
# - Size of the total moment: 2.00 μB/cell
# - Crystal system: monoclinic

The records above give, respectively, calculated total energy values of -5.300 -7.327 -4.950 -3.234 -3.077 -5.778 -5.676 -2.113 -4.230 -5.802 -3.403 -6.563 eV per atom.